# PBE-GGA Zr2GeAuI, relaxed
data_Zr2GeAuI
_space_group_name_H-M_alt 'P 4/m m m'
_space_group_IT_number 123
_space_group_name_Hall '-P 4 2'
_cell_length_a 5.123
_cell_length_b 5.123
_cell_length_c 5.400
_cell_angle_alpha 90.00
_cell_angle_beta 90.00
_cell_angle_gamma 90.00
loop_
_atom_site_label
_atom_site_fract_x
_atom_site_fract_y
_atom_site_fract_z
_atom_site_occupancy
Zr1 0.000 0.500 0.000 1
Ge1 0.000 0.000 0.000 1
Au1 0.500 0.500 0.500 1
I1 0.000 0.000 0.500 1
# - DOS at the Fermi energy (states/eV/cell) = 6.20
# - uncorrected formation energy (eV per atom) = 0.683
# - crystal system = tetragonal